Density functional theory data (GGA-PBEsol) for crystalline Li3NiHg at its relaxed geometry.

Electronic total energy (eV/atom): -2.28
Magnetic moment (μB per formula unit): 0.00
ΔE_f (eV per formula unit): 1.22

Unit cell a=4.4557 b=4.4557 c=4.4557 alpha=90.00 beta=90.00 gamma=90.00
Closest atoms and distances in Å follow each position.
Space group Pm-3m (No. 221)
Symmetry-distinct sites (fractional):
Li 0.0000 0.0000 0.5000 x3  2 Ni 2.23
Ni 0.0000 0.0000 0.0000 x1  6 Li 2.23
Hg 0.5000 0.5000 0.5000 x1  12 Li 3.15

Density functional theory data (GGA-PBEsol) for crystalline NaCaB5H8O13 at its relaxed geometry.

Electronic total energy (eV/atom): -6.69
Magnetic moment (μB per formula unit): 0.00

Unit cell a=6.4645 b=13.2573 c=11.3498 alpha=90.00 beta=93.93 gamma=90.00
Closest atoms and distances in Å follow each position.
Space group P2_1/c (No. 14)
Symmetry-distinct sites (fractional):
Na 0.1522 0.0201 0.1416 x4  6 O 2.38-2.58
Ca 0.2833 0.1114 0.4152 x4  6 O 2.31-2.49
B 0.1196 0.0401 0.6800 x4  3 O 1.36-1.37
B 0.1886 0.6273 0.9286 x4  4 O 1.45-1.54
B 0.3393 0.7440 0.7851 x4  3 O 1.37-1.38
B 0.3833 0.5664 0.2813 x4  4 O 1.45-1.49
B 0.4839 0.0819 0.6556 x4  4 O 1.45-1.50
H 0.0362 0.2210 0.1965 x4  1 O 1.01
H 0.0891 0.1535 0.9514 x4  1 O 1.00
H 0.1067 0.6732 0.4775 x4  1 O 0.99
H 0.1837 0.6544 0.1035 x4  1 O 1.00
H 0.2781 0.2414 0.2126 x4  1 O 0.99
H 0.3730 0.5457 0.4580 x4  1 O 0.98
H 0.4046 0.1853 0.8659 x4  1 O 1.01
H 0.4166 0.1671 0.0053 x4  1 O 1.01
O 0.0390 0.6199 0.5224 x4  2 H 0.99-1.00
O 0.0816 0.6389 0.0361 x4  1 H 1.00
O 0.0877 0.5513 0.8474 x4  2 B 1.36-1.49
O 0.1717 0.1901 0.2269 x4  2 H 0.99-1.01
O 0.1803 0.5168 0.2776 x4  2 B 1.37-1.47
O 0.1871 0.7285 0.8624 x4  2 B 1.38-1.54
O 0.2620 0.0870 0.6151 x4  2 B 1.37-1.48
O 0.3371 0.2050 0.9399 x4  2 H 1.01
O 0.3613 0.6674 0.2245 x4  2 B 1.37-1.49
O 0.4025 0.5946 0.9498 x4  2 B 1.45-1.46
O 0.4661 0.0120 0.2836 x4  2 B 1.45
O 0.4673 0.5784 0.4064 x4  1 H 0.98
O 0.4812 0.6702 0.7630 x4  2 B 1.38-1.50

Density functional theory data (GGA-PBEsol) for crystalline Ag5Hg at its relaxed geometry.

Electronic total energy (eV/atom): -2.69
Magnetic moment (μB per formula unit): 0.00
ΔE_f (eV per formula unit): 0.98
Relative energy among the computed polymorphs (eV/atom): 0.1570

Unit cell a=5.3632 b=5.3632 c=4.6506 alpha=90.00 beta=90.00 gamma=120.00
Closest atoms and distances in Å follow each position.
Space group P6/mmm (No. 191)
Symmetry-distinct sites (fractional):
Ag 0.0000 0.5000 0.0000 x3  8 Ag 2.68-2.79
Ag 0.3333 0.6667 0.5000 x2  9 Ag 2.79-3.10, 3 Hg 3.10
Hg 0.0000 0.0000 0.5000 x1  6 Ag 3.10

Density functional theory data (GGA-PBEsol) for crystalline Hf2PdC at its relaxed geometry.

Electronic total energy (eV/atom): -9.41
Magnetic moment (μB per formula unit): 0.00
ΔE_f (eV per formula unit): -1.04

Unit cell a=6.2972 b=6.2972 c=6.8007 alpha=90.00 beta=90.00 gamma=90.00
Closest atoms and distances in Å follow each position.
Space group I-42d (No. 122)
Symmetry-distinct sites (fractional):
Hf 0.1898 0.2500 0.1250 x8  2 C 2.15
Pd 0.0000 0.0000 0.5000 x4  4 Hf 2.65
C 0.0000 0.0000 0.0000 x4  4 Hf 2.15

What did the second record say?
Density functional theory data (GGA-PBEsol) for crystalline NaCaB5H8O13 at its relaxed geometry.

Electronic total energy (eV/atom): -6.69
Magnetic moment (μB per formula unit): 0.00

Unit cell a=6.4645 b=13.2573 c=11.3498 alpha=90.00 beta=93.93 gamma=90.00
Closest atoms and distances in Å follow each position.
Space group P2_1/c (No. 14)
Symmetry-distinct sites (fractional):
Na 0.1522 0.0201 0.1416 x4  6 O 2.38-2.58
Ca 0.2833 0.1114 0.4152 x4  6 O 2.31-2.49
B 0.1196 0.0401 0.6800 x4  3 O 1.36-1.37
B 0.1886 0.6273 0.9286 x4  4 O 1.45-1.54
B 0.3393 0.7440 0.7851 x4  3 O 1.37-1.38
B 0.3833 0.5664 0.2813 x4  4 O 1.45-1.49
B 0.4839 0.0819 0.6556 x4  4 O 1.45-1.50
H 0.0362 0.2210 0.1965 x4  1 O 1.01
H 0.0891 0.1535 0.9514 x4  1 O 1.00
H 0.1067 0.6732 0.4775 x4  1 O 0.99
H 0.1837 0.6544 0.1035 x4  1 O 1.00
H 0.2781 0.2414 0.2126 x4  1 O 0.99
H 0.3730 0.5457 0.4580 x4  1 O 0.98
H 0.4046 0.1853 0.8659 x4  1 O 1.01
H 0.4166 0.1671 0.0053 x4  1 O 1.01
O 0.0390 0.6199 0.5224 x4  2 H 0.99-1.00
O 0.0816 0.6389 0.0361 x4  1 H 1.00
O 0.0877 0.5513 0.8474 x4  2 B 1.36-1.49
O 0.1717 0.1901 0.2269 x4  2 H 0.99-1.01
O 0.1803 0.5168 0.2776 x4  2 B 1.37-1.47
O 0.1871 0.7285 0.8624 x4  2 B 1.38-1.54
O 0.2620 0.0870 0.6151 x4  2 B 1.37-1.48
O 0.3371 0.2050 0.9399 x4  2 H 1.01
O 0.3613 0.6674 0.2245 x4  2 B 1.37-1.49
O 0.4025 0.5946 0.9498 x4  2 B 1.45-1.46
O 0.4661 0.0120 0.2836 x4  2 B 1.45
O 0.4673 0.5784 0.4064 x4  1 H 0.98
O 0.4812 0.6702 0.7630 x4  2 B 1.38-1.50

Which value of electronic total energy does entry 2 give?
-6.69 eV/atom